Entry 1:
This record from the Alexandria database describes a geometry-optimized Li3NiPd2 structure. The functional is PBE. Values from VASP.

**Formation enthalpy at 0 K**: -1.6 eV per formula unit
**Crystal system**: orthorhombic
**Final energy**: -3.9232 eV per atom

```
&SYSTEM
  ibrav = 0, nat = 6, ntyp = 3
/
ATOMIC_SPECIES
Li 6.94 Li.upf
Ni 58.69 Ni.upf
Pd 106.42 Pd.upf
CELL_PARAMETERS angstrom
-2.634 -1.102 -0.389
0.143 1.098 -4.077
2.597 -6.403 0.555
ATOMIC_POSITIONS angstrom
Li 0.992 -1.471 -2.550
Li 1.748 -3.835 -0.971
Li -1.245 -0.002 -2.233
Ni 0.000 0.000 0.000
Pd 0.574 -3.995 -3.244
Pd -0.468 -2.412 -0.666
```

Entry 2:
This record from the Alexandria database describes a geometry-optimized CsLi3O structure. The functional is PBE. Values from VASP.

**Crystal system**: cubic
**Final energy**: -1.1025 eV per atom
**Offset from the most stable computed form**: 1564 meV/atom

```
&SYSTEM
  ibrav = 0, nat = 5, ntyp = 3
/
ATOMIC_SPECIES
Cs 132.91 Cs.upf
O 16.00 O.upf
Li 6.94 Li.upf
CELL_PARAMETERS angstrom
-4.012 -3.246 -0.873
1.699 -0.785 -4.888
2.900 -4.030 1.655
ATOMIC_POSITIONS angstrom
Cs 0.000 0.000 0.000
O 0.294 -4.030 -2.053
Li 0.850 -0.392 -2.444
Li 1.450 -2.015 0.828
Li -2.006 -1.623 -0.437
```

Entry 3:
This record from the Alexandria database describes a geometry-optimized RbNp2AuSe4 structure. The functional is PBE. Values from VASP.

**Crystal system**: orthorhombic
**Final energy**: -6.4863 eV per atom

```
&SYSTEM
  ibrav = 0, nat = 16, ntyp = 4
/
ATOMIC_SPECIES
Rb 85.47 Rb.upf
Np 237.00 Np.upf
Au 196.97 Au.upf
Se 78.96 Se.upf
CELL_PARAMETERS angstrom
-3.442 -1.717 -1.821
3.035 -5.339 4.273
-8.217 4.421 11.360
ATOMIC_POSITIONS angstrom
Rb -5.846 1.822 9.331
Rb -2.778 -4.457 4.481
Np -3.669 -2.091 8.906
Np -1.913 -2.181 0.699
Np -4.955 -0.544 4.906
Np -6.711 -0.454 13.113
Au -6.984 -1.786 9.911
Au -1.640 -0.850 3.901
Se -0.149 -2.802 2.925
Se -6.044 -1.141 7.527
Se -8.474 0.167 10.887
Se -2.580 -1.495 6.285
Se -4.108 2.210 5.680
Se 0.000 0.000 0.000
Se -4.992 -2.204 11.514
Se -3.631 -0.432 2.298
```

Entry 4:
This record from the Alexandria database describes a geometry-optimized BeCr2Ir structure. The functional is PBE. Values from VASP.

**Formation enthalpy at 0 K**: -0.3 eV per formula unit
**Crystal system**: monoclinic
**Final energy**: -8.0330 eV per atom

```
&SYSTEM
  ibrav = 0, nat = 4, ntyp = 3
/
ATOMIC_SPECIES
Cr 52.00 Cr.upf
Ir 192.22 Ir.upf
Be 9.01 Be.upf
CELL_PARAMETERS angstrom
4.449 -0.024 0.433
3.589 2.629 0.433
1.182 0.383 4.182
ATOMIC_POSITIONS angstrom
Cr 9.081 2.943 4.849
Cr 6.958 2.255 3.988
Ir 4.627 1.500 2.238
Be 2.383 0.772 1.543
```

Entry 5:
This record from the Alexandria database describes a geometry-optimized Hf3TiNi2C structure. The functional is PBE. Values from VASP.

**Formation enthalpy at 0 K**: -2.5 eV per formula unit
**Crystal system**: orthorhombic
**Final energy**: -8.7204 eV per atom

```
&SYSTEM
  ibrav = 0, nat = 7, ntyp = 4
/
ATOMIC_SPECIES
Hf 178.49 Hf.upf
Ti 47.87 Ti.upf
Ni 58.69 Ni.upf
C 12.01 C.upf
CELL_PARAMETERS angstrom
-2.483 2.123 2.494
-2.974 -3.211 -0.228
5.388 -2.277 3.916
ATOMIC_POSITIONS angstrom
Hf -1.487 -1.606 -0.114
Hf 0.964 -1.023 1.830
Hf -1.033 -2.342 4.352
Ti -1.242 1.061 1.247
Ni -2.050 -1.263 2.420
Ni 1.982 -2.102 3.762
C 0.000 0.000 0.000
```

Entry 6:
This record from the Alexandria database describes a geometry-optimized CdPt structure. The functional is PBE. Values from VASP.

**Formation enthalpy at 0 K**: -0.4 eV per formula unit
**Crystal system**: hexagonal
**Final energy**: -3.6681 eV per atom

```
&SYSTEM
  ibrav = 0, nat = 4, ntyp = 2
/
ATOMIC_SPECIES
Pt 195.08 Pt.upf
Cd 112.41 Cd.upf
CELL_PARAMETERS angstrom
-2.658 0.097 1.366
1.698 -2.452 0.207
3.972 3.384 7.487
ATOMIC_POSITIONS angstrom
Pt 1.239 -0.756 2.465
Pt 1.773 1.785 6.595
Cd 0.000 0.000 0.000
Cd 1.986 1.692 3.743
```

Entry 7:
This record from the Alexandria database describes a geometry-optimized Hf2NbCo structure. The functional is PBE. Values from VASP.

**Formation enthalpy at 0 K**: 1.5 eV per formula unit
**Crystal system**: trigonal
**Final energy**: -8.9079 eV per atom
**Offset from the most stable computed form**: 533 meV/atom

```
&SYSTEM
  ibrav = 0, nat = 4, ntyp = 3
/
ATOMIC_SPECIES
Co 58.93 Co.upf
Nb 92.91 Nb.upf
Hf 178.49 Hf.upf
CELL_PARAMETERS angstrom
-2.856 0.479 -0.988
-1.705 -2.356 -0.950
-4.743 -1.817 8.093
ATOMIC_POSITIONS angstrom
Co -4.652 -1.847 3.078
Nb 0.000 0.000 0.000
Hf -3.794 -1.466 5.521
Hf -5.510 -2.228 0.635
```

Entry 8:
This record from the Alexandria database describes a geometry-optimized Li2SmAlO4 structure. The functional is PBE. Values from VASP.

**Crystal system**: tetragonal
**Final energy**: -6.7635 eV per atom

```
&SYSTEM
  ibrav = 0, nat = 8, ntyp = 4
/
ATOMIC_SPECIES
Li 6.94 Li.upf
Sm 150.36 Sm.upf
Al 26.98 Al.upf
O 16.00 O.upf
CELL_PARAMETERS angstrom
5.159 0.000 0.000
2.579 4.107 -0.721
2.579 -0.262 4.161
ATOMIC_POSITIONS angstrom
Li 5.159 3.014 0.499
Li 5.159 0.830 2.941
Sm 2.579 -0.262 4.161
Al 2.579 1.922 1.720
O 6.679 2.061 3.153
O 3.638 0.482 1.741
O 6.679 1.784 0.287
O 3.638 3.362 1.699
```